Compound: TbHoGaPb
Source: Alexandria via LeMat-Bulk
Functional: PBE
Structure: relaxed

Calculated values
Calculated density (g/cm³): 9.64
Formation energy from the elements (eV per atom): -0.427

Lattice parameters (Å, degrees): 5.270 5.270 5.270 60.00 60.00 60.00
Positions (direct):
Pb (0.500, 0.500, 0.500)
Tb (0.750, 0.750, 0.750)
Ho (0.250, 0.250, 0.250)
Ga (0.000, 0.000, 0.000)